VASP calculation (PBE-GGA) on a relaxed InAgRu2 crystal.

Lattice parameters (Å, degrees): 2.881 4.293 5.673 90.00 104.46 90.00
Atoms (fractional coordinates):
In  0.000  0.000  0.000
Ag  0.358  0.500  0.724
Ru  0.630  0.500  0.261
Ru  0.732  0.000  0.471

Values from the calculation:
Energy relative to the elements   0.37 eV per atom
Final energy   -22.65 eV/cell
Total moment   0.00 μB per atom

---

VASP calculation (PBE-GGA) on a relaxed InAgRu2 crystal.

Lattice parameters (Å, degrees): 9.161 2.931 4.971 90.00 100.00 90.00
Atoms (fractional coordinates):
In  0.000  0.000  0.000
In  0.500  0.500  0.000
Ag  0.256  0.500  0.232
Ag  0.756  0.000  0.232
Ru  0.011  0.500  0.523
Ru  0.249  0.000  0.705
Ru  0.511  0.000  0.523
Ru  0.749  0.500  0.705

Values from the calculation:
Energy relative to the elements   0.31 eV per atom
Final energy   -45.79 eV/cell
Total moment   0.00 μB per atom

---

VASP calculation (PBE-GGA) on a relaxed InAgRu2 crystal.

Lattice parameters (Å, degrees): 2.971 4.723 9.504 90.00 90.00 90.00
Atoms (fractional coordinates):
In  0.000  0.000  0.000
In  0.500  0.500  0.500
Ag  0.000  0.500  0.236
Ag  0.500  0.000  0.736
Ru  0.000  0.000  0.473
Ru  0.000  0.500  0.753
Ru  0.500  0.000  0.253
Ru  0.500  0.500  0.973

Values from the calculation:
Energy relative to the elements   0.38 eV per atom
Final energy   -45.22 eV/cell
Total moment   0.02 μB per atom

---

Which formula does entry 3 have?
InAgRu2

---

What is the formula in the third record?
InAgRu2

---

The lowest energy relative to the elements belongs to which entry?
number 2